A geometry-optimized RbNpTeCl2 structure, computed with PBE.

Cell: 9.2750 9.2750 8.7001 Å, 90.00 90.00 151.59°
Fractional positions:
Rb (0.2135, 0.7865, 0.7500)
Rb (0.7865, 0.2135, 0.2500)
Np (0.5000, 0.5000, 0.0000)
Np (0.5000, 0.5000, 0.5000)
Te (0.0034, 0.9966, 0.2500)
Te (0.9966, 0.0034, 0.7500)
Cl (0.3498, 0.6502, 0.0083)
Cl (0.3498, 0.6502, 0.4917)
Cl (0.6502, 0.3498, 0.5083)
Cl (0.6502, 0.3498, 0.9917)

Properties
**Formation energy from raw total energies**: -1.45 eV/atom
**Crystal system**: orthorhombic
**Uncorrected energy**: -5.5967 eV per atom
**Mass density**: 4.86 g cm⁻³
**Total magnetization**: 8.0 Bohr magnetons per cell